# 1
DyBAsO: optimized geometry, PBE.

Lattice parameters (Å, degrees): 5.113 5.113 4.431 90.00 90.00 90.00
Space group P4/nmm (No. 129, origin choice 2)
Asymmetric unit:
Dy  0.250  0.750  0.000 x2
B  0.250  0.250  0.014 x2
As  0.250  0.250  0.578 x2
O  0.250  0.750  0.500 x2

Summary:
Its calculated total energy is -45.53 eV for the cell shown. For the excess energy over the best structure of this formula in the dataset, the calculation gives 0.840 eV/atom. The size of the total moment comes out at 0.001 μB/cell.

---

# 2
DyBAsO: optimized geometry, PBE.

Lattice parameters (Å, degrees): 5.590 5.590 4.312 90.00 90.00 90.00
Space group P4/nmm (No. 129, origin choice 2)
Asymmetric unit:
Dy  0.250  0.750  0.000 x2
B  0.250  0.250  0.068 x2
As  0.250  0.250  0.627 x2
O  0.250  0.750  0.500 x2

Summary:
Its calculated total energy is -46.67 eV for the cell shown. For the excess energy over the best structure of this formula in the dataset, the calculation gives 0.698 eV/atom. The size of the total moment comes out at 0.000 μB/cell.

---

# 3
ErBAs: optimized geometry, PBE.

Lattice parameters (Å, degrees): 6.023 6.023 6.023 90.00 90.00 90.00
Space group F-43m (No. 216)
Asymmetric unit:
Er  0.000  0.000  0.000 x4
B  0.250  0.250  0.750 x4
As  0.000  0.000  0.500 x4

Summary:
Its calculated total energy is -62.13 eV for the cell shown. The size of the total moment comes out at 0.022 μB/cell.

---

# 4
ErBAsO: optimized geometry, PBE.

Lattice parameters (Å, degrees): 3.888 5.360 6.003 90.00 90.00 90.00
Space group Pmc2_1 (No. 26)
Asymmetric unit:
Er  0.000  0.220  0.000 x2
B  0.500  0.291  0.333 x2
As  0.500  0.364  0.670 x2
O  0.000  0.140  0.340 x2

Summary:
Its calculated total energy is -48.47 eV for the cell shown. For the excess energy over the best structure of this formula in the dataset, the calculation gives 0.457 eV/atom. The size of the total moment comes out at 0.003 μB/cell.

---

# 5
ErBAsO: optimized geometry, PBE.

Lattice parameters (Å, degrees): 3.982 3.982 7.171 90.00 90.00 90.00
Space group P4/nmm (No. 129, origin choice 2)
Asymmetric unit:
Er  0.250  0.250  0.144 x2
B  0.250  0.750  0.500 x2
As  0.250  0.250  0.627 x2
O  0.250  0.750  0.000 x2

Summary:
Its calculated total energy is -52.12 eV for the cell shown. For the excess energy over the best structure of this formula in the dataset, the calculation gives 0.000 eV/atom. The size of the total moment comes out at 0.001 μB/cell.

---

# 6
ErBAsO: optimized geometry, PBE.

Lattice parameters (Å, degrees): 5.531 5.531 4.279 90.00 90.00 90.00
Space group P4/nmm (No. 129, origin choice 2)
Asymmetric unit:
Er  0.250  0.750  0.000 x2
B  0.250  0.250  0.073 x2
As  0.250  0.250  0.629 x2
O  0.250  0.750  0.500 x2

Summary:
Its calculated total energy is -46.75 eV for the cell shown. For the excess energy over the best structure of this formula in the dataset, the calculation gives 0.671 eV/atom. The size of the total moment comes out at 0.000 μB/cell.

---

Calculated density per entry: 7.57, 6.51, 7.69, 7.14, 7.86, 6.82 g/cm3